Record 1
A plane-wave DFT calculation with GGA-PBE was carried out for an optimized crystal structure of Mg3ZrCr.

N(E_F)	5.5	states/eV per cell
theoretical density	2.1	g/cm3
energy relative to the lowest polymorph listed for this composition	304.8	kJ/mol of formula units
calculated formation energy	7.4	eV/f.u.

abc: 5.518 5.518 5.518
angles: 90.00 90.00 90.00
Atoms (fractional coordinates):
Mg1 0.000 0.000 0.500
Mg2 0.000 0.500 0.000
Mg3 0.500 0.000 0.000
Zr1 0.000 0.000 0.000
Cr1 0.500 0.500 0.500



Record 2
A plane-wave DFT calculation with GGA-PBE was carried out for an optimized crystal structure of Pr6NdHg5.

N(E_F)	16.7	states/eV per cell
theoretical density	9.3	g/cm3
calculated formation energy	-4.2	eV/f.u.

abc: 8.785 8.785 7.834
angles: 90.00 90.00 143.87
Atoms (fractional coordinates):
Pr1 0.000 0.000 0.226
Pr2 0.000 0.000 0.774
Pr3 0.326 0.674 0.252
Pr4 0.326 0.674 0.748
Pr5 0.674 0.326 0.252
Pr6 0.674 0.326 0.748
Nd1 0.500 0.500 0.500
Hg1 0.152 0.848 0.500
Hg2 0.168 0.832 0.000
Hg3 0.500 0.500 0.000
Hg4 0.832 0.168 0.000
Hg5 0.848 0.152 0.500



Record 3
A plane-wave DFT calculation with GGA-PBE was carried out for an optimized crystal structure of CaInRh2.

N(E_F)	5.2	states/eV per cell
theoretical density	8.1	g/cm3
calculated formation energy	-1.1	eV/f.u.

abc: 5.418 5.418 5.418
angles: 136.81 136.81 62.73
Atoms (fractional coordinates):
Ca1 0.000 0.000 0.000
In1 0.250 0.750 0.500
Rh1 0.500 0.500 0.000
Rh2 0.750 0.250 0.500



Record 4
A plane-wave DFT calculation with GGA-PBE was carried out for an optimized crystal structure of BaMg2Ga2.

N(E_F)	4.8	states/eV per cell
theoretical density	4.3	g/cm3
calculated formation energy	-0.6	eV/f.u.

abc: 8.829 8.829 3.225
angles: 90.00 90.00 90.00
Atoms (fractional coordinates):
Ba1 0.000 0.000 0.000
Ba2 0.500 0.500 0.000
Mg1 0.140 0.360 0.500
Mg2 0.360 0.860 0.500
Mg3 0.640 0.140 0.500
Mg4 0.860 0.640 0.500
Ga1 0.148 0.648 0.000
Ga2 0.352 0.148 0.000
Ga3 0.648 0.852 0.000
Ga4 0.852 0.352 0.000